1.
Entry from Alexandria: a PBEsol-optimized structure of Li2OsSe (meta-GGA SCAN).

Unit cell a=2.665 b=2.665 c=8.453 alpha=90.00 beta=90.00 gamma=107.42
Fractional coordinates of all 4 atoms:
Li  0.000  0.000  0.749
Se  0.500  0.500  0.000
Li  0.000  0.000  0.251
Os  0.500  0.500  0.500

## Properties
Energy = -24.275 eV/atom
Space-group type = Cmmm

***

2.
Entry from Alexandria: a PBEsol-optimized structure of LiOsSe2 (meta-GGA SCAN).

Unit cell a=2.998 b=3.721 c=5.854 alpha=90.00 beta=90.00 gamma=90.00
Fractional coordinates of all 4 atoms:
Os  0.500  0.500  0.769
Li  0.000  0.000  0.467
Se  0.500  0.500  0.346
Se  0.000  0.000  0.918

## Properties
Energy = -28.707 eV/atom
Space-group type = Pmm2

***

3.
Entry from Alexandria: a PBEsol-optimized structure of Li2OsSe (meta-GGA SCAN).

Unit cell a=2.769 b=2.769 c=8.690 alpha=80.83 beta=80.83 gamma=60.00
Fractional coordinates of all 4 atoms:
Li  0.251  0.251  0.247
Se  0.000  0.000  0.000
Os  0.500  0.500  0.500
Li  0.749  0.749  0.753

## Properties
Energy = -24.252 eV/atom
Space-group type = R-3m

***

4.
Entry from Alexandria: a PBEsol-optimized structure of LiOsSe (meta-GGA SCAN).

Unit cell a=4.019 b=4.019 c=4.019 alpha=60.00 beta=60.00 gamma=60.00
Fractional coordinates of all 3 atoms:
Se  0.250  0.250  0.250
Li  0.000  0.000  0.000
Os  0.500  0.500  0.500

## Properties
Energy above the most stable polymorph in this dataset = 0.0949 eV per atom
Space-group type = F-43m

***

5.
Entry from Alexandria: a PBEsol-optimized structure of LiOsSe3 (meta-GGA SCAN).

Unit cell a=4.906 b=4.906 c=4.906 alpha=90.00 beta=90.00 gamma=90.00
Fractional coordinates of all 5 atoms:
Se  0.000  0.500  0.000
Li  0.500  0.500  0.500
Se  0.500  0.000  0.000
Se  0.000  0.000  0.500
Os  0.000  0.000  0.000

## Properties
Energy above the most stable polymorph in this dataset = 0.0000 eV per atom
Space-group type = Pm-3m

***

6.
Entry from Alexandria: a PBEsol-optimized structure of LiOsSe2 (meta-GGA SCAN).

Unit cell a=2.951 b=2.951 c=8.643 alpha=80.17 beta=80.17 gamma=60.00
Fractional coordinates of all 4 atoms:
Li  0.500  0.500  0.500
Os  0.000  0.000  0.000
Se  0.092  0.092  0.723
Se  0.908  0.908  0.277

## Properties
Energy = -28.476 eV/atom
Space-group type = R-3m

***

7.
Entry from Alexandria: a PBEsol-optimized structure of Li3OsSe (meta-GGA SCAN).

Unit cell a=4.779 b=4.779 c=4.779 alpha=90.00 beta=90.00 gamma=90.00
Fractional coordinates of all 5 atoms:
Li  0.000  0.000  0.500
Li  0.000  0.500  0.000
Os  0.000  0.000  0.000
Se  0.500  0.500  0.500
Li  0.500  0.000  0.000

## Properties
Energy = -19.051 eV/atom
Space-group type = Pm-3m

***

8.
Entry from Alexandria: a PBEsol-optimized structure of LiSiOs (meta-GGA SCAN).

Unit cell a=3.782 b=3.782 c=3.782 alpha=60.00 beta=60.00 gamma=60.00
Fractional coordinates of all 3 atoms:
Li  0.250  0.250  0.250
Si  0.500  0.500  0.500
Os  0.000  0.000  0.000

## Properties
Energy above the most stable polymorph in this dataset = 0.9091 eV per atom
Space-group type = F-43m

***

9.
Entry from Alexandria: a PBEsol-optimized structure of LiSiOs4 (meta-GGA SCAN).

Unit cell a=5.087 b=5.087 c=5.087 alpha=60.00 beta=60.00 gamma=60.00
Fractional coordinates of all 6 atoms:
Li  0.000  0.000  0.000
Os  0.875  0.375  0.375
Os  0.375  0.875  0.375
Os  0.375  0.375  0.875
Si  0.750  0.750  0.750
Os  0.375  0.375  0.375

## Properties
Energy = -49.234 eV/atom
Space-group type = F-43m

***

10.
Entry from Alexandria: a PBEsol-optimized structure of LiSiOs2 (meta-GGA SCAN).

Unit cell a=2.824 b=4.237 c=4.626 alpha=106.98 beta=107.77 gamma=90.00
Fractional coordinates of all 4 atoms:
Li  0.249  0.779  0.498
Os  0.751  0.289  0.502
Si  0.497  0.471  0.994
Os  0.003  0.960  0.006

## Properties
Energy = -39.092 eV/atom
Space-group type = Cm

***

11.
Entry from Alexandria: a PBEsol-optimized structure of LiSiOs2 (meta-GGA SCAN).

Unit cell a=2.754 b=4.080 c=4.937 alpha=90.00 beta=106.09 gamma=90.00
Fractional coordinates of all 4 atoms:
Os  0.953  0.000  0.029
Os  0.555  0.500  0.235
Li  0.294  0.500  0.713
Si  0.699  0.000  0.524

## Properties
Energy = -39.056 eV/atom
Space-group type = Pm

***

12.
Entry from Alexandria: a PBEsol-optimized structure of Li2SiOs (meta-GGA SCAN).

Unit cell a=3.066 b=3.066 c=5.686 alpha=90.00 beta=90.00 gamma=90.00
Fractional coordinates of all 4 atoms:
Li  0.000  0.000  0.999
Os  0.000  0.000  0.525
Li  0.500  0.500  0.260
Si  0.500  0.500  0.716

## Properties
Energy = -21.864 eV/atom
Space-group type = P4mm